DFT (GGA-PBE) results for a relaxed structure of CrPtCl2.

a b c (Å): 7.056 7.056 7.056
angles (deg): 151.59 142.83 47.44
Site moments in Bohr magnetons follow the coordinates.
Sites, in units of the cell vectors:
Cr  0.532  0.532  0.000  3.61
Pt  0.383  0.883  0.500  -0.01
Cl  0.929  0.929  0.000  0.01
Cl  0.656  0.156  0.500  -0.04

SG   Imm2
VASP energy   -5.03 eV per atom
E_form (uncorrected)   -4.31 kcal/mol of atoms